No. 1
Compound: Pm7YEr4
Source: the Alexandria database
Functional: PBE-GGA
Structure: optimized geometry

```
Pm7YEr4
1.0
5.9708 0.0000 0.0000
2.9854 9.0217 1.9561
2.9854 1.7000 7.8666
Pm Y Er
7 1 4
Cartesian
8.9562 8.9165 5.9907 Pm
2.9854 1.8052 3.8319 Pm
2.9854 5.4264 3.2630 Pm
8.9562 5.2953 6.5596 Pm
5.9708 8.2114 7.8759 Pm
2.9854 0.0000 0.0000 Pm
5.9708 2.5103 1.9468 Pm
0.0000 0.0000 0.0000 Y
5.9708 3.6610 4.9917 Er
5.9708 7.0607 4.8309 Er
5.9708 5.6721 1.5312 Er
5.9708 5.0496 8.2915 Er
```

Summary:
Calculated formation energy   255 kJ/mol of formula units
Space-group type   C2/m, No. 12
Fermi-level density of states   18.97 states/eV per cell
ΔE to the lowest computed polymorph   216 meV/atom
Total moment   0.29 μB per cell
Electronic total energy   -4.61 eV per atom

No. 2
Compound: Ca3Zr2TaN6
Source: the Alexandria database
Functional: PBE-GGA
Structure: optimized geometry

```
Ca3Zr2TaN6
1.0
-3.6038 3.7595 2.2612
-0.8475 -5.5606 0.7713
4.5906 0.7746 3.6470
Ca Zr Ta N
3 2 1 6
Cartesian
0.9879 -3.6184 2.8434 Ca
-0.8487 2.5919 3.8361 Ca
0.0696 -0.5133 3.3397 Ca
-1.7664 -2.4533 1.2680 Zr
-2.6848 0.6522 1.7645 Zr
0.0000 0.0000 0.0000 Ta
-0.2548 0.7202 5.4332 N
-2.3592 -1.1863 3.0568 N
0.3941 -1.7467 1.2463 N
0.6295 -2.2700 4.9553 N
2.4985 0.1598 3.6227 N
-0.4902 1.2434 1.7242 N
```

Summary:
Space-group type   C2/m, No. 12
Fermi-level density of states   2.97 states/eV per cell
Total moment   0.00 μB per cell
Electronic total energy   -8.50 eV per atom